[1]
Entry from the Alexandria database: a geometry-optimized AlTcTe2I structure (PBE).

The space group is P4/mmm (No. 123) and the conventional cell measures 5.3807, 5.3807 and 5.4323 Å, with angles of 90.00, 90.00 and 90.00 degrees. The inequivalent atoms are Al at (0.0000, 0.0000, 0.0000), Tc at (0.5000, 0.5000, 0.5000), Te at (0.0000, 0.5000, 0.0000) and I at (0.0000, 0.0000, 0.5000).

As for the relative energy among the computed polymorphs: 0.402 eV/atom.

=====

[2]
Entry from the Alexandria database: a geometry-optimized AlTlTcI2 structure (PBE).

The space group is P4/mmm (No. 123) and the conventional cell measures 5.9721, 5.9721 and 4.9923 Å, with angles of 90.00, 90.00 and 90.00 degrees. The inequivalent atoms are Al at (0.0000, 0.0000, 0.0000), Tl at (0.5000, 0.5000, 0.5000), Tc at (0.0000, 0.0000, 0.5000) and I at (0.0000, 0.5000, 0.0000).

=====

[3]
Entry from the Alexandria database: a geometry-optimized YAl2TcI structure (PBE).

The space group is P4/mmm (No. 123) and the conventional cell measures 5.6533, 5.6533 and 5.7070 Å, with angles of 90.00, 90.00 and 90.00 degrees. The inequivalent atoms are Y at (0.0000, 0.0000, 0.0000), Al at (0.0000, 0.5000, 0.0000), Tc at (0.5000, 0.5000, 0.5000) and I at (0.0000, 0.0000, 0.5000).

=====

[4]
Entry from the Alexandria database: a geometry-optimized AlTeI structure (PBE).

The space group is Cm (No. 8) and the conventional cell measures 7.2795, 4.2022 and 7.8730 Å, with angles of 90.00, 95.92 and 90.00 degrees. The inequivalent atoms are Al at (0.0000, 0.0000, 0.0000), Te at (0.3505, 0.0000, 0.1546) and I at (0.4631, 0.5000, 0.6830).

=====

no.,total DFT energy (no corrections) (eV/atom),magnetic moment (μB per formula unit),formation energy (no corrections) (meV per atom)
1,-3.506,5.068,883
2,-3.266,3.856,649
3,-3.735,4.024,1438
4,-3.350,0.000,-539